A relaxed structure of La4TbEr2Sc. Source: Alexandria via LeMat-Bulk, functional PBE. Values from VASP.

Summary:
ΔH_f (0 K) = 71 meV per atom
E_tot = -0.18022 Ha/atom
Theoretical density = 6.8 g/cm3
Size of the total moment = 0.00 Bohr magnetons per cell
Symmetry = P4/mmm

```
&SYSTEM
  ibrav = 0, nat = 8, ntyp = 4
/
ATOMIC_SPECIES
Tb 158.93 Tb.upf
La 138.91 La.upf
Er 167.26 Er.upf
Sc 44.96 Sc.upf
CELL_PARAMETERS angstrom
-0.1739 -4.4163 3.8235
-1.1706 -3.7261 -4.3570
6.4649 -4.9189 -5.3874
ATOMIC_POSITIONS crystal
Tb 0.5000 0.5000 0.0000
La 0.0000 0.2402 0.2594
La 0.5000 0.7402 0.2600
Er 0.0000 0.0000 0.0000
La 0.5000 0.2598 0.7400
La 0.0000 0.7598 0.7406
Er 0.5000 0.0000 0.5000
Sc 0.0000 0.5000 0.5000
```